# HfAlB3 | Alexandria | PBE-GGA | relaxed
data_HfAlB3
_chemical_formula_sum 'Hf1 Al1 B3'
_symmetry_space_group_name_H-M 'P 1'
_symmetry_Int_Tables_number 1
_cell_length_a 3.9704
_cell_length_b 3.9704
_cell_length_c 3.9704
_cell_angle_alpha 90.00
_cell_angle_beta 90.00
_cell_angle_gamma 90.00
loop_
_symmetry_equiv_pos_as_xyz
'x,y,z'
loop_
_atom_site_label
_atom_site_type_symbol
_atom_site_fract_x
_atom_site_fract_y
_atom_site_fract_z
Hf1 Hf 0.5000 0.5000 0.5000
B1 B 0.0000 0.0000 0.5000
B2 B 0.5000 0.0000 0.0000
B3 B 0.0000 0.5000 0.0000
Al1 Al 0.0000 0.0000 0.0000
# **SG**: No. 221
# **Calculated formation energy**: 1.133 eV per atom
# **Relative energy among the computed polymorphs**: 0.000 eV/atom
# **Size of the total moment**: 0.0 μB per formula unit